Entry 1:
Computed, not measured: LaGe2Te2 after structural relaxation at the PBE-GGA level of DFT.

Computed properties:
E_form (uncorrected): -0.47 eV per atom
Offset from the most stable computed form: 0.21 eV/f.u.

Lattice parameters (Å, degrees): 5.903 5.903 5.903 120.72 120.72 88.76
Sites, in units of the cell vectors:
La1 0.000 0.000 0.000
Ge1 0.352 0.352 0.000
Ge2 0.648 0.648 0.000
Te1 0.250 0.750 0.500
Te2 0.750 0.250 0.500


Entry 2:
Computed, not measured: La4Ge2Te after structural relaxation at the PBE-GGA level of DFT.

Computed properties:
E_form (uncorrected): -1.01 eV per atom
Offset from the most stable computed form: 0.00 eV/f.u.

Lattice parameters (Å, degrees): 8.186 8.186 8.186 109.21 109.21 109.99
Sites, in units of the cell vectors:
La1 0.110 0.506 0.746
La2 0.113 0.010 0.754
La3 0.256 0.360 0.246
La4 0.494 0.240 0.603
La5 0.637 0.890 0.397
La6 0.640 0.887 0.897
La7 0.760 0.363 0.254
La8 0.990 0.744 0.103
Ge1 0.008 0.125 0.383
Ge2 0.375 0.992 0.117
Ge3 0.742 0.625 0.617
Ge4 0.875 0.258 0.883
Te1 0.250 0.750 0.500
Te2 0.500 0.500 0.000


Entry 3:
Computed, not measured: La4Ge2Te after structural relaxation at the PBE-GGA level of DFT.

Computed properties:
E_form (uncorrected): -0.53 eV per atom
Offset from the most stable computed form: 3.38 eV/f.u.

Lattice parameters (Å, degrees): 8.405 8.405 8.405 137.70 137.70 61.36
Sites, in units of the cell vectors:
La1 0.000 0.500 0.500
La2 0.221 0.221 0.000
La3 0.500 0.000 0.500
La4 0.779 0.779 0.000
Ge1 0.416 0.416 0.000
Ge2 0.584 0.584 0.000
Te1 0.000 0.000 0.000


Entry 4:
Computed, not measured: LaGeTe4 after structural relaxation at the PBE-GGA level of DFT.

Computed properties:
E_form (uncorrected): -0.60 eV per atom

Lattice parameters (Å, degrees): 6.357 7.988 7.987 90.00 90.07 90.00
Sites, in units of the cell vectors:
La1 0.000 0.250 0.250
La2 0.000 0.750 0.750
Ge1 0.500 0.249 0.750
Ge2 0.500 0.751 0.250
Te1 0.249 0.058 0.558
Te2 0.249 0.942 0.058
Te3 0.251 0.441 0.941
Te4 0.251 0.559 0.441
Te5 0.749 0.441 0.559
Te6 0.749 0.559 0.059
Te7 0.751 0.058 0.942
Te8 0.751 0.942 0.442


Entry 5:
Computed, not measured: LaGe2Te2 after structural relaxation at the PBE-GGA level of DFT.

Computed properties:
E_form (uncorrected): -0.47 eV per atom
Offset from the most stable computed form: 0.18 eV/f.u.

Lattice parameters (Å, degrees): 8.051 8.051 4.149 90.00 90.00 90.00
Sites, in units of the cell vectors:
La1 0.000 0.000 0.000
La2 0.500 0.500 0.000
Ge1 0.123 0.377 0.000
Ge2 0.377 0.877 0.000
Ge3 0.623 0.123 0.000
Ge4 0.877 0.623 0.000
Te1 0.206 0.706 0.500
Te2 0.294 0.206 0.500
Te3 0.706 0.794 0.500
Te4 0.794 0.294 0.500


Entry 6:
Computed, not measured: LaThGeTe after structural relaxation at the PBE-GGA level of DFT.

Computed properties:
E_form (uncorrected): -1.16 eV per atom

Lattice parameters (Å, degrees): 7.847 7.847 7.847 32.67 32.67 32.67
Sites, in units of the cell vectors:
La1 0.000 0.000 0.000
Th1 0.481 0.481 0.481
Ge1 0.744 0.744 0.744
Te1 0.238 0.238 0.238


Entry 7:
Computed, not measured: La2TiGeTe after structural relaxation at the PBE-GGA level of DFT.

Computed properties:
E_form (uncorrected): -0.29 eV per atom

Lattice parameters (Å, degrees): 5.577 5.577 4.765 90.00 90.00 90.00
Sites, in units of the cell vectors:
La1 0.000 0.500 0.000
La2 0.500 0.000 0.000
Ti1 0.000 0.000 0.000
Ge1 0.000 0.000 0.500
Te1 0.500 0.500 0.500


Entry 8:
Computed, not measured: La4TlGeTe2 after structural relaxation at the PBE-GGA level of DFT.

Computed properties:
E_form (uncorrected): -1.09 eV per atom

Lattice parameters (Å, degrees): 7.900 4.495 8.037 90.00 108.55 90.00
Sites, in units of the cell vectors:
La1 0.233 0.000 0.232
La2 0.241 0.500 0.756
La3 0.759 0.500 0.244
La4 0.767 0.000 0.768
Tl1 0.500 0.000 0.000
Ge1 0.000 0.500 0.000
Te1 0.000 0.000 0.500
Te2 0.500 0.500 0.500


Entry 9:
Computed, not measured: LaTl2GeTe4 after structural relaxation at the PBE-GGA level of DFT.

Computed properties:
E_form (uncorrected): -0.59 eV per atom

Lattice parameters (Å, degrees): 7.957 4.551 8.105 90.00 109.31 90.00
Sites, in units of the cell vectors:
La1 0.000 0.000 0.000
Tl1 0.000 0.500 0.500
Tl2 0.500 0.000 0.500
Ge1 0.500 0.500 0.000
Te1 0.257 0.500 0.222
Te2 0.274 0.000 0.784
Te3 0.726 0.000 0.216
Te4 0.743 0.500 0.778


Entry 10:
Computed, not measured: LaThGe2 after structural relaxation at the PBE-GGA level of DFT.

Computed properties:
Calculated formation energy: -0.7173 eV/atom

Lattice parameters (Å, degrees): 7.582 7.582 7.582 33.27 33.27 33.27
Sites, in units of the cell vectors:
La1 0.000 0.000 0.000
Th1 0.500 0.500 0.500
Ge1 0.247 0.247 0.247
Ge2 0.753 0.753 0.753


Entry 11:
Computed, not measured: LaTh2Ge3 after structural relaxation at the PBE-GGA level of DFT.

Computed properties:
Calculated formation energy: -0.7346 eV/atom

Lattice parameters (Å, degrees): 8.710 6.134 12.913 90.00 90.00 90.00
Sites, in units of the cell vectors:
La1 0.126 0.250 0.082
La2 0.374 0.750 0.582
La3 0.626 0.250 0.418
La4 0.874 0.750 0.918
Th1 0.123 0.250 0.416
Th2 0.125 0.250 0.752
Th3 0.375 0.750 0.252
Th4 0.377 0.750 0.916
Th5 0.623 0.250 0.084
Th6 0.625 0.250 0.748
Th7 0.875 0.750 0.248
Th8 0.877 0.750 0.584
Ge1 0.121 0.750 0.414
Ge2 0.125 0.750 0.752
Ge3 0.131 0.750 0.085
Ge4 0.369 0.250 0.585
Ge5 0.375 0.250 0.252
Ge6 0.379 0.250 0.914
Ge7 0.621 0.750 0.086
Ge8 0.625 0.750 0.748
Ge9 0.631 0.750 0.415
Ge10 0.869 0.250 0.915
Ge11 0.875 0.250 0.248
Ge12 0.879 0.250 0.586


Entry 12:
Computed, not measured: LaTh4Ge4 after structural relaxation at the PBE-GGA level of DFT.

Computed properties:
Calculated formation energy: -0.6102 eV/atom

Lattice parameters (Å, degrees): 7.422 7.422 7.422 99.50 99.50 132.06
Sites, in units of the cell vectors:
La1 0.000 0.000 0.000
Th1 0.196 0.603 0.799
Th2 0.397 0.196 0.593
Th3 0.603 0.804 0.407
Th4 0.804 0.397 0.201
Ge1 0.100 0.302 0.402
Ge2 0.302 0.900 0.202
Ge3 0.698 0.100 0.798
Ge4 0.900 0.698 0.598


| no. | volume (Å³/cell) |
| --- | --- |
| 1 | 144 |
| 2 | 422 |
| 3 | 266 |
| 4 | 406 |
| 5 | 269 |
| 6 | 125 |
| 7 | 148 |
| 8 | 271 |
| 9 | 277 |
| 10 | 117 |
| 11 | 690 |
| 12 | 277 |